[1]
Entry from Alexandria: a geometry-optimized DyTiCuPd structure (PBE).

a b c (Å): 4.708 4.708 4.708
angles (deg): 60.00 60.00 60.00
Positions (direct):
Dy (0.000, 0.000, 0.000)
Ti (0.500, 0.500, 0.500)
Cu (0.750, 0.750, 0.750)
Pd (0.250, 0.250, 0.250)

Properties
Density of states at the Fermi level, states/eV per atom: 1.301
Energy of formation, eV/atom: -0.29
Calculated total energy, Ry/atom: -0.4218



[2]
Entry from Alexandria: a geometry-optimized DyTlCuPd structure (PBE).

a b c (Å): 4.810 4.810 4.810
angles (deg): 60.00 60.00 60.00
Positions (direct):
Dy (0.000, 0.000, 0.000)
Tl (0.500, 0.500, 0.500)
Cu (0.250, 0.250, 0.250)
Pd (0.750, 0.750, 0.750)

Properties
Density of states at the Fermi level, states/eV per atom: 0.880
Energy of formation, eV/atom: -0.39
Calculated total energy, Ry/atom: -0.3272



[3]
Entry from Alexandria: a geometry-optimized DyTmCuPd structure (PBE).

a b c (Å): 4.535 5.495 5.495
angles (deg): 39.23 90.00 90.00
Positions (direct):
Dy (0.000, 0.000, 0.000)
Tm (0.500, 0.722, 0.722)
Cu (0.000, 0.281, 0.281)
Pd (0.500, 0.439, 0.439)

Properties
Distance to the lowest polymorph of the same formula, eV per atom: 0.0000
Density of states at the Fermi level, states/eV per atom: 0.553
Energy of formation, eV/atom: -0.62
Calculated total energy, Ry/atom: -0.3828



[4]
Entry from Alexandria: a geometry-optimized DyTmCuPd structure (PBE).

a b c (Å): 4.906 4.906 4.906
angles (deg): 60.00 60.00 60.00
Positions (direct):
Dy (0.000, 0.000, 0.000)
Tm (0.500, 0.500, 0.500)
Cu (0.250, 0.250, 0.250)
Pd (0.750, 0.750, 0.750)

Properties
Distance to the lowest polymorph of the same formula, eV per atom: 0.0289
Density of states at the Fermi level, states/eV per atom: 0.772
Energy of formation, eV/atom: -0.59
Calculated total energy, Ry/atom: -0.3807



[5]
Entry from Alexandria: a geometry-optimized DyYCuPd structure (PBE).

a b c (Å): 4.537 5.565 5.565
angles (deg): 39.23 90.00 90.00
Positions (direct):
Dy (0.000, 0.000, 0.000)
Y (0.500, 0.723, 0.723)
Cu (0.000, 0.284, 0.284)
Pd (0.500, 0.440, 0.440)

Properties
Distance to the lowest polymorph of the same formula, eV per atom: 0.0000
Density of states at the Fermi level, states/eV per atom: 0.611
Energy of formation, eV/atom: -0.60
Calculated total energy, Ry/atom: -0.4180



[6]
Entry from Alexandria: a geometry-optimized DyYCuPd structure (PBE).

a b c (Å): 4.949 4.949 4.949
angles (deg): 60.00 60.00 60.00
Positions (direct):
Dy (0.000, 0.000, 0.000)
Y (0.500, 0.500, 0.500)
Cu (0.750, 0.750, 0.750)
Pd (0.250, 0.250, 0.250)

Properties
Distance to the lowest polymorph of the same formula, eV per atom: 0.0354
Density of states at the Fermi level, states/eV per atom: 0.688
Energy of formation, eV/atom: -0.56
Calculated total energy, Ry/atom: -0.4154



[7]
Entry from Alexandria: a geometry-optimized Dy2ZnCu2Pd5 structure (PBE).

a b c (Å): 9.369 9.369 3.870
angles (deg): 90.00 90.00 90.00
Positions (direct):
Dy (0.175, 0.325, 0.000)
Dy (0.325, 0.825, 0.000)
Dy (0.675, 0.175, 0.000)
Dy (0.825, 0.675, 0.000)
Zn (0.000, 0.000, 0.000)
Zn (0.500, 0.500, 0.000)
Cu (0.123, 0.623, 0.000)
Cu (0.377, 0.123, 0.000)
Cu (0.623, 0.877, 0.000)
Cu (0.877, 0.377, 0.000)
Pd (0.000, 0.500, 0.500)
Pd (0.069, 0.798, 0.500)
Pd (0.202, 0.069, 0.500)
Pd (0.298, 0.569, 0.500)
Pd (0.431, 0.298, 0.500)
Pd (0.500, 0.000, 0.500)
Pd (0.569, 0.702, 0.500)
Pd (0.702, 0.431, 0.500)
Pd (0.798, 0.931, 0.500)
Pd (0.931, 0.202, 0.500)

Properties
Density of states at the Fermi level, states/eV per atom: 0.310
Energy of formation, eV/atom: -0.64
Calculated total energy, Ry/atom: -0.3752



[8]
Entry from Alexandria: a geometry-optimized DyZn2Cu2Pd structure (PBE).

a b c (Å): 4.739 4.739 5.216
angles (deg): 90.00 90.00 90.00
Positions (direct):
Dy (0.000, 0.000, 0.000)
Zn (0.000, 0.500, 0.500)
Zn (0.500, 0.000, 0.500)
Cu (0.500, 0.500, 0.242)
Cu (0.500, 0.500, 0.758)
Pd (0.000, 0.000, 0.500)

Properties
Density of states at the Fermi level, states/eV per atom: 0.364
Energy of formation, eV/atom: -0.02
Calculated total energy, Ry/atom: -0.2528



[9]
Entry from Alexandria: a geometry-optimized DyZn5Cu2Pd structure (PBE).

a b c (Å): 4.643 4.643 6.998
angles (deg): 90.00 90.00 90.00
Positions (direct):
Dy (0.000, 0.000, 0.000)
Zn (0.000, 0.500, 0.292)
Zn (0.000, 0.500, 0.708)
Zn (0.500, 0.000, 0.292)
Zn (0.500, 0.000, 0.708)
Zn (0.500, 0.500, 0.000)
Cu (0.500, 0.500, 0.336)
Cu (0.500, 0.500, 0.664)
Pd (0.000, 0.000, 0.500)

Properties
Density of states at the Fermi level, states/eV per atom: 0.454
Energy of formation, eV/atom: -0.11
Calculated total energy, Ry/atom: -0.2072



[10]
Entry from Alexandria: a geometry-optimized DyZn2CuPd4 structure (PBE).

a b c (Å): 8.164 8.164 8.164
angles (deg): 31.25 31.25 31.25
Positions (direct):
Dy (0.000, 0.000, 0.000)
Zn (0.242, 0.242, 0.242)
Zn (0.758, 0.758, 0.758)
Cu (0.500, 0.500, 0.500)
Pd (0.127, 0.127, 0.127)
Pd (0.391, 0.391, 0.391)
Pd (0.609, 0.609, 0.609)
Pd (0.873, 0.873, 0.873)

Properties
Density of states at the Fermi level, states/eV per atom: 0.416
Energy of formation, eV/atom: -0.55
Calculated total energy, Ry/atom: -0.3348



[11]
Entry from Alexandria: a geometry-optimized Dy2Zn12Cu3Pd structure (PBE).

a b c (Å): 11.667 11.667 11.667
angles (deg): 28.40 28.40 28.40
Positions (direct):
Dy (0.140, 0.140, 0.140)
Dy (0.860, 0.860, 0.860)
Zn (0.099, 0.099, 0.645)
Zn (0.099, 0.645, 0.099)
Zn (0.100, 0.615, 0.615)
Zn (0.355, 0.901, 0.901)
Zn (0.385, 0.385, 0.900)
Zn (0.385, 0.900, 0.385)
Zn (0.615, 0.100, 0.615)
Zn (0.615, 0.615, 0.100)
Zn (0.645, 0.099, 0.099)
Zn (0.900, 0.385, 0.385)
Zn (0.901, 0.355, 0.901)
Zn (0.901, 0.901, 0.355)
Cu (0.000, 0.500, 0.500)
Cu (0.500, 0.000, 0.500)
Cu (0.500, 0.500, 0.000)
Pd (0.500, 0.500, 0.500)

Properties
Density of states at the Fermi level, states/eV per atom: 0.581
Energy of formation, eV/atom: -0.07
Calculated total energy, Ry/atom: -0.1764



[12]
Entry from Alexandria: a geometry-optimized DyZnCuPd structure (PBE).

a b c (Å): 4.645 4.645 4.645
angles (deg): 60.00 60.00 60.00
Positions (direct):
Dy (0.000, 0.000, 0.000)
Zn (0.500, 0.500, 0.500)
Cu (0.250, 0.250, 0.250)
Pd (0.750, 0.750, 0.750)

Properties
Density of states at the Fermi level, states/eV per atom: 0.684
Energy of formation, eV/atom: -0.45
Calculated total energy, Ry/atom: -0.3114



Q: Which value of density of states at the Fermi level does entry 6 give?
A: 0.688 states/eV per atom



Q: Which of these has the highest calculated total energy?
A: Dy2Zn12Cu3Pd



Q: The highest calculated total energy belongs to which entry?
A: Dy2Zn12Cu3Pd



Q: The lowest density of states at the Fermi level belongs to which entry?
A: Dy2ZnCu2Pd5